Entry 1:
Entry from the Alexandria database: a geometry-optimized SrCaFeTe2 structure (PBEsol).

Cell lengths 5.6439, 5.6439, 6.2355 Å; angles 90.00, 90.00, 90.00 degrees
Space group P4/mmm (No. 123)
Asymmetric unit:
Sr (0.0000, 0.0000, 0.0000) [1 per cell]
Ca (0.0000, 0.0000, 0.5000) [1 per cell]
Fe (0.5000, 0.5000, 0.0000) [1 per cell]
Te (0.0000, 0.5000, 0.5000) [2 per cell]

Output
**D(E_F)**: 0.97 states/eV/atom
**Formation energy without anion corrections**: 0.643 eV/atom
**Size of the total moment**: 4.19 μB per formula unit
**VASP energy**: -3.36 eV/atom

=====

Entry 2:
Entry from the Alexandria database: a geometry-optimized ZnSiNi2 structure (PBEsol).

Cell lengths 3.9962, 3.9962, 2.7824 Å; angles 90.00, 90.00, 90.00 degrees
Space group P4/mmm (No. 123)
Asymmetric unit:
Zn (0.0000, 0.0000, 0.0000) [1 per cell]
Si (0.5000, 0.5000, 0.0000) [1 per cell]
Ni (0.0000, 0.5000, 0.5000) [2 per cell]

Output
**D(E_F)**: 0.44 states/eV/atom
**Formation energy without anion corrections**: -0.420 eV/atom
**Size of the total moment**: 0.00 μB per formula unit
**VASP energy**: -5.33 eV/atom

=====

Entry 3:
Entry from the Alexandria database: a geometry-optimized Hg2Sb structure (PBEsol).

Cell lengths 12.1396, 3.9294, 8.1596 Å; angles 90.00, 127.29, 90.00 degrees
Space group C2/m (No. 12)
Asymmetric unit:
Hg (0.0459, 0.0000, 0.2302) [4 per cell]
Hg (0.1416, 0.5000, 0.5629) [4 per cell]
Sb (0.1983, 0.5000, 0.0709) [4 per cell]

Output
**D(E_F)**: 0.30 states/eV/atom
**Relative energy among the computed polymorphs**: 0.037 eV per formula unit
**Formation energy without anion corrections**: 0.070 eV/atom
**Size of the total moment**: 0.00 μB per formula unit
**VASP energy**: -1.83 eV/atom

=====

Entry 4:
Entry from the Alexandria database: a geometry-optimized CaNbPb3 structure (PBEsol).

Cell lengths 5.5337, 5.5337, 5.5337 Å; angles 90.00, 90.00, 90.00 degrees
Space group Pm-3m (No. 221)
Asymmetric unit:
Ca (0.0000, 0.0000, 0.0000) [1 per cell]
Nb (0.5000, 0.5000, 0.5000) [1 per cell]
Pb (0.0000, 0.0000, 0.5000) [3 per cell]

Output
**D(E_F)**: 1.38 states/eV/atom
**Size of the total moment**: 2.99 μB per formula unit
**VASP energy**: -3.62 eV/atom
**E_form**: 659 kJ/mol of formula units

=====

> Among the records above, which one has the lowest VASP energy?

ZnSiNi2

=====

> Which value of VASP energy does entry 1 give?

-3.36 eV/atom

=====

Copy entry 3 word for word.
Entry from the Alexandria database: a geometry-optimized Hg2Sb structure (PBEsol).

Cell lengths 12.1396, 3.9294, 8.1596 Å; angles 90.00, 127.29, 90.00 degrees
Space group C2/m (No. 12)
Asymmetric unit:
Hg (0.0459, 0.0000, 0.2302) [4 per cell]
Hg (0.1416, 0.5000, 0.5629) [4 per cell]
Sb (0.1983, 0.5000, 0.0709) [4 per cell]

Output
**D(E_F)**: 0.30 states/eV/atom
**Relative energy among the computed polymorphs**: 0.037 eV per formula unit
**Formation energy without anion corrections**: 0.070 eV/atom
**Size of the total moment**: 0.00 μB per formula unit
**VASP energy**: -1.83 eV/atom